Arrangement 1

VASP calculation (PBE) on a geometry-optimized BaLa4Ti4O15 structure.

a = 5.6302 Å, b = 5.6302 Å, c = 22.1808 Å
α = 90.00°, β = 90.00°, γ = 120.00°
Last column: nearest neighbours and their distance in Å.
Space group P-3c1 (No. 165)
One atom of each set of equivalent atoms:
Ba 0.0000 0.0000 0.2500  12 O 2.67-2.96
La 0.3333 0.6667 0.0402  6 O 2.44-2.63
La 0.3333 0.6667 0.3589  6 O 2.48-2.57
Ti 0.0000 0.0000 0.0886  3 O 1.88
Ti 0.3333 0.6667 0.1978  6 O 1.97-2.00
O 0.0000 0.4750 0.2500  2 Ti 2.00
O 0.0998 0.3392 0.4477  1 Ti 1.88
O 0.1104 0.3427 0.6468  2 Ti 1.97-2.14

=====

Arrangement 2

VASP calculation (PBE) on a geometry-optimized BaLa4Ti4O15 structure.

a = 5.6212 Å, b = 5.6212 Å, c = 22.7704 Å
α = 90.00°, β = 90.00°, γ = 120.00°
Last column: nearest neighbours and their distance in Å.
Space group P3c1 (No. 158)
One atom of each set of equivalent atoms:
Ba 0.0000 0.0000 0.0000  9 O 2.70-2.98
La 0.0000 0.0000 0.1827  6 O 2.45-2.54
La 0.3333 0.6667 0.2907  9 O 2.46-2.71
La 0.6667 0.3333 0.0703  6 O 2.42-2.55
La 0.6667 0.3333 0.3977  6 O 2.51-2.52
Ti 0.0000 0.0000 0.3412  6 O 1.94-2.03
Ti 0.3333 0.6667 0.1344  3 O 1.86
Ti 0.3333 0.6667 0.4474  3 O 1.85
Ti 0.6667 0.3333 0.2383  6 O 1.94-2.03
O 0.0034 0.4348 0.1960  2 Ti 1.94-2.17
O 0.0821 0.3355 0.5997  1 Ti 1.86
O 0.1115 0.3358 0.3846  1 Ti 1.94
O 0.3341 0.1043 0.7901  2 Ti 2.03
O 0.4777 0.0058 0.9833  1 Ti 1.85

=====

Which structure is the most stable? The one labeled arrangement 2.

=====

Arrangement 1

VASP calculation (PBE) on a geometry-optimized BaLa3Os structure.

a = 8.5490 Å, b = 5.7209 Å, c = 8.3224 Å
α = 90.00°, β = 90.00°, γ = 90.00°
Last column: nearest neighbours and their distance in Å.
Space group Pmma (No. 51)
One atom of each set of equivalent atoms:
Ba 0.2500 0.0000 0.0005  10 La 4.16-4.24, 2 Ba 4.27
La 0.9998 0.5000 0.2741  2 Os 2.85
La 0.2500 0.0000 0.5001  2 Os 2.86
Os 0.2500 0.5000 0.4996  6 La 2.85-2.86

=====

Arrangement 2

VASP calculation (PBE) on a geometry-optimized BaLa3Os structure.

a = 7.0525 Å, b = 14.6198 Å, c = 6.6336 Å
α = 90.00°, β = 90.00°, γ = 90.00°
Last column: nearest neighbours and their distance in Å.
Space group Cmcm (No. 63)
One atom of each set of equivalent atoms:
Ba 0.0000 0.0723 0.2500  10 La 3.77-4.21, 2 Os 3.77, 2 Ba 3.93
La 0.0000 0.5000 0.0000  2 Os 2.92
La 0.2411 0.3021 0.2500  1 Os 2.72
Os 0.0000 0.3359 0.7500  4 La 2.72-2.92

=====

Which structure is the most stable? The one labeled arrangement 1.

=====

Arrangement 1

VASP calculation (PBE) on a geometry-optimized BaLa3Os structure.

a = 6.3858 Å, b = 8.4734 Å, c = 7.1270 Å
α = 90.00°, β = 90.00°, γ = 90.00°
Last column: nearest neighbours and their distance in Å.
Space group Pmma (No. 51)
One atom of each set of equivalent atoms:
Ba 0.2500 0.0000 0.1807  10 La 4.02-4.27, 2 Ba 4.10
La 0.2500 0.2587 0.6667  2 Os 2.85
La 0.2500 0.5000 0.1661  2 Os 2.87
Os 0.0000 0.5000 0.5000  6 La 2.85-2.87, 2 Os 3.19

=====

Arrangement 2

VASP calculation (PBE) on a geometry-optimized BaLa3Os structure.

a = 10.5242 Å, b = 16.8712 Å, c = 8.7904 Å
α = 90.00°, β = 110.49°, γ = 90.00°
Last column: nearest neighbours and their distance in Å.
Space group C2/c (No. 15)
One atom of each set of equivalent atoms:
Ba 0.0000 0.0257 0.2500  6 La 3.62-3.96, 2 Os 3.70
Ba 0.0000 0.3827 0.2500  8 La 3.54-3.70, 2 Os 3.71
La 0.0884 0.2086 0.5081  3 Os 2.96-3.10
La 0.1456 0.4293 0.6680  1 Os 2.77
La 0.2491 0.1532 0.9398  2 Os 2.86-2.96
Os 0.1954 0.2039 0.2215  6 La 2.77-3.10

=====

Which structure is the most stable? The one labeled arrangement 1.

=====

Arrangement 1

VASP calculation (PBE) on a geometry-optimized BaLa3Os structure.

a = 5.6559 Å, b = 5.6559 Å, c = 11.4323 Å
α = 90.00°, β = 90.00°, γ = 120.00°
Last column: nearest neighbours and their distance in Å.
Space group P6_3/mmc (No. 194)
One atom of each set of equivalent atoms:
Ba 0.3333 0.6667 0.2500  3 La 3.27
La 0.0000 0.0000 0.2500  2 Os 2.86
La 0.3333 0.6667 0.5740  3 Os 3.37, 3 La 3.68, 1 Ba 3.70
Os 0.0000 0.0000 0.0000  2 La 2.86

=====

Arrangement 2

VASP calculation (PBE) on a geometry-optimized BaLa3Os structure.

a = 10.5565 Å, b = 6.8765 Å, c = 11.3645 Å
α = 90.00°, β = 118.08°, γ = 90.00°
Last column: nearest neighbours and their distance in Å.
Space group P2_1/c (No. 14)
One atom of each set of equivalent atoms:
Ba 0.2336 0.0511 0.4886  4 La 3.47-3.81, 3 Os 3.61-3.70
La 0.0006 0.1590 0.1267  3 Os 2.96-3.15
La 0.3178 0.5090 0.3510  1 Os 2.68
La 0.3609 0.5471 0.7154  1 Os 2.64
Os 0.1283 0.7358 0.6812  2 La 2.64-2.68

=====

Which structure is the most stable? The one labeled arrangement 2.

=====

Arrangement 1

VASP calculation (PBE) on a geometry-optimized BaLa3Os structure.

a = 4.4232 Å, b = 4.4232 Å, c = 10.3489 Å
α = 90.00°, β = 90.00°, γ = 90.00°
Last column: nearest neighbours and their distance in Å.
Space group P4mm (No. 99)
One atom of each set of equivalent atoms:
Ba 0.0000 0.0000 0.0000  5 La 3.95-4.21
La 0.0000 0.0000 0.6185  4 Os 3.22, 4 La 3.58
La 0.0000 0.5000 0.3459  2 Os 3.01, 4 La 3.13
Os 0.5000 0.5000 0.5433  8 La 3.01-3.22

=====

Arrangement 2

VASP calculation (PBE) on a geometry-optimized BaLa3Os structure.

a = 5.7963 Å, b = 5.7963 Å, c = 5.7963 Å
α = 90.00°, β = 90.00°, γ = 90.00°
Last column: nearest neighbours and their distance in Å.
Space group Pm-3m (No. 221)
One atom of each set of equivalent atoms:
Ba 0.0000 0.0000 0.0000  12 La 4.10
La 0.0000 0.5000 0.5000  2 Os 2.90
Os 0.5000 0.5000 0.5000  6 La 2.90

=====

Arrangement 3

VASP calculation (PBE) on a geometry-optimized BaLa3Os structure.

a = 5.5537 Å, b = 7.5872 Å, c = 8.1863 Å
α = 90.00°, β = 90.00°, γ = 90.00°
Last column: nearest neighbours and their distance in Å.
Space group Pmmn (No. 59, origin choice 2)
One atom of each set of equivalent atoms:
Ba 0.2500 0.2500 0.2088  10 La 3.66-4.00
La 0.2500 0.0245 0.6500  1 Os 2.82
La 0.2500 0.7500 0.0968  1 Os 2.62
Os 0.2500 0.7500 0.4171  3 La 2.62-2.82

=====

Arrangement 4

VASP calculation (PBE) on a geometry-optimized BaLa3Os structure.

a = 15.3538 Å, b = 15.3538 Å, c = 15.3538 Å
α = 90.00°, β = 90.00°, γ = 90.00°
Last column: nearest neighbours and their distance in Å.
Space group Fd-3m (No. 227, origin choice 2)
One atom of each set of equivalent atoms:
Ba 0.0000 0.0000 0.0000  6 La 4.03
La 0.0561 0.3750 0.8750  2 Os 2.85
Os 0.0000 0.0000 0.5000  6 La 2.85

=====

Which structure is the most stable? The one labeled arrangement 2.

=====

Arrangement 1

VASP calculation (PBE) on a geometry-optimized Ba3LaP structure.

a = 6.3137 Å, b = 6.3137 Å, c = 6.3137 Å
α = 90.00°, β = 90.00°, γ = 90.00°
Last column: nearest neighbours and their distance in Å.
Space group Pm-3m (No. 221)
One atom of each set of equivalent atoms:
Ba 0.0000 0.0000 0.5000  2 P 3.16
La 0.5000 0.5000 0.5000  12 Ba 4.46
P 0.0000 0.0000 0.0000  6 Ba 3.16

=====

Arrangement 2

VASP calculation (PBE) on a geometry-optimized Ba3LaP structure.

a = 6.1303 Å, b = 6.1303 Å, c = 6.1303 Å
α = 90.00°, β = 90.00°, γ = 90.00°
Last column: nearest neighbours and their distance in Å.
Space group Pm-3m (No. 221)
One atom of each set of equivalent atoms:
Ba 0.0000 0.0000 0.5000  2 La 3.07
La 0.0000 0.0000 0.0000  6 Ba 3.07
P 0.5000 0.5000 0.5000  12 Ba 4.33

=====

Which structure is the most stable? The one labeled arrangement 1.

=====

Arrangement 1

VASP calculation (PBE) on a geometry-optimized BaLa3Pb structure.

a = 5.8696 Å, b = 5.8696 Å, c = 5.8696 Å
α = 90.00°, β = 90.00°, γ = 90.00°
Last column: nearest neighbours and their distance in Å.
Space group Pm-3m (No. 221)
One atom of each set of equivalent atoms:
Ba 0.0000 0.0000 0.0000  6 La 2.93
La 0.0000 0.0000 0.5000  2 Ba 2.93
Pb 0.5000 0.5000 0.5000  12 La 4.15

=====

Arrangement 2

VASP calculation (PBE) on a geometry-optimized BaLa3Pb structure.

a = 6.2701 Å, b = 6.2701 Å, c = 6.2701 Å
α = 90.00°, β = 90.00°, γ = 90.00°
Last column: nearest neighbours and their distance in Å.
Space group Pm-3m (No. 221)
One atom of each set of equivalent atoms:
Ba 0.0000 0.0000 0.0000  12 La 4.43
La 0.0000 0.5000 0.5000  2 Pb 3.14
Pb 0.5000 0.5000 0.5000  6 La 3.14

=====

Which structure is the most stable? The one labeled arrangement 2.

=====

Arrangement 1

VASP calculation (PBE) on a geometry-optimized Ba2LaPb2 structure.

a = 10.2015 Å, b = 10.2015 Å, c = 3.7727 Å
α = 90.00°, β = 90.00°, γ = 90.00°
Last column: nearest neighbours and their distance in Å.
Space group P4/mbm (No. 127)
One atom of each set of equivalent atoms:
Ba 0.1207 0.3793 0.0000  6 Pb 3.47-3.63, 3 Ba 3.48-3.77
La 0.0000 0.0000 0.0000  2 La 3.77, 4 Ba 4.06, 8 Pb 4.20
Pb 0.1777 0.6777 0.5000  6 Ba 3.47-3.63, 2 Pb 3.77

=====

Arrangement 2

VASP calculation (PBE) on a geometry-optimized Ba2LaPb2 structure.

a = 9.7809 Å, b = 9.7809 Å, c = 4.2894 Å
α = 90.00°, β = 90.00°, γ = 90.00°
Last column: nearest neighbours and their distance in Å.
Space group P4/mbm (No. 127)
One atom of each set of equivalent atoms:
Ba 0.1312 0.3688 0.0000  6 Pb 3.45-3.69, 1 Ba 3.63
La 0.0000 0.0000 0.5000  4 Pb 3.62
Pb 0.1733 0.6733 0.5000  6 Ba 3.45-3.69, 2 La 3.62

=====

Which structure is the most stable? The one labeled arrangement 2.